# 1
This record from Alexandria via LeMat-Bulk describes an optimized crystal structure of Na2TeHPb. The functional is PBE-GGA.

Cell: 6.047 6.047 3.994 Å, 90.00 90.00 90.00°
Space group P4/mmm (No. 123)
Inequivalent atoms, fractional coordinates:
1 Na 0.000 0.500 0.000 (multiplicity 2)
2 Te 0.000 0.000 0.500 (multiplicity 1)
3 H 0.500 0.500 0.500 (multiplicity 1)
4 Pb 0.500 0.500 0.000 (multiplicity 1)

- offset from the most stable computed form (kJ/mol of atoms) = 42.0

***

# 2
This record from Alexandria via LeMat-Bulk describes an optimized crystal structure of NaTiH2Pb. The functional is PBE-GGA.

Cell: 3.925 3.925 5.923 Å, 90.00 90.00 90.00°
Space group P4/mmm (No. 123)
Inequivalent atoms, fractional coordinates:
1 Na 0.000 0.000 0.000 (multiplicity 1)
2 Ti 0.000 0.000 0.500 (multiplicity 1)
3 H 0.000 0.500 0.500 (multiplicity 2)
4 Pb 0.500 0.500 0.000 (multiplicity 1)

- energy (eV per cell) = -16.99

***

What size of the total moment values result from the calculations? In sequence: 0.254; 0.250 μB per atom.